Computed, not measured: an optimized crystal structure of Nd3Eu5H12 at the PBE level of DFT.

Geometry as CIF:
```
data_Nd3Eu5H12
_chemical_formula_sum 'Nd12 Eu20 H48'
_symmetry_space_group_name_H-M 'P 1'
_symmetry_Int_Tables_number 1
_symmetry_space_group_name_Hall 'P 1'
_cell_length_a 11.9269
_cell_length_b 11.9269
_cell_length_c 11.9269
_cell_angle_alpha 109.47
_cell_angle_beta 109.47
_cell_angle_gamma 109.47
loop_
_atom_site_label
_atom_site_fract_x
_atom_site_fract_y
_atom_site_fract_z
_atom_site_occupancy
Eu1 0.1250 0.3750 0.2500 1
Eu2 0.0000 0.5000 0.0000 1
Eu3 0.0000 0.0000 0.0000 1
Eu4 0.3750 0.2500 0.1250 1
Eu5 0.5000 0.0000 0.5000 1
Eu6 0.5000 0.5000 0.0000 1
Eu7 0.1250 0.7500 0.3750 1
Eu8 0.7500 0.1250 0.8750 1
Eu9 0.7500 0.6250 0.3750 1
Eu10 0.3750 0.1250 0.7500 1
Eu11 0.6250 0.8750 0.2500 1
Eu12 0.5000 0.5000 0.5000 1
Eu13 0.5000 0.0000 0.0000 1
Eu14 0.0000 0.0000 0.5000 1
Eu15 0.2500 0.3750 0.6250 1
Eu16 0.2500 0.8750 0.1250 1
Eu17 0.0000 0.5000 0.5000 1
Eu18 0.8750 0.2500 0.6250 1
Eu19 0.6250 0.7500 0.8750 1
Eu20 0.8750 0.6250 0.7500 1
H1 0.7287 0.1516 0.0683 1
H2 0.3396 0.5683 0.4167 1
H3 0.9317 0.3484 0.2713 1
H4 0.5683 0.2287 0.1516 1
H5 0.5771 0.7287 0.6604 1
H6 0.9317 0.5833 0.1604 1
H7 0.3396 0.7713 0.4229 1
H8 0.0833 0.9229 0.1516 1
H9 0.5833 0.9317 0.6604 1
H10 0.7287 0.5771 0.1604 1
H11 0.7713 0.4317 0.3484 1
H12 0.8396 0.9167 0.0683 1
H13 0.1516 0.7287 0.5683 1
H14 0.3484 0.4167 0.0771 1
H15 0.0771 0.9167 0.3484 1
H16 0.4229 0.1516 0.5833 1
H17 0.0771 0.1604 0.2287 1
H18 0.4317 0.6604 0.0833 1
H19 0.8396 0.9229 0.2713 1
H20 0.1516 0.4229 0.0833 1
H21 0.3484 0.9317 0.7713 1
H22 0.5833 0.6516 0.4229 1
H23 0.9167 0.8396 0.5683 1
H24 0.7713 0.3396 0.9229 1
H25 0.4167 0.3484 0.5771 1
H26 0.0833 0.1604 0.4317 1
H27 0.2287 0.6604 0.0771 1
H28 0.1604 0.0771 0.7287 1
H29 0.6516 0.0683 0.2287 1
H30 0.8484 0.5771 0.9167 1
H31 0.5683 0.3396 0.9167 1
H32 0.5771 0.8484 0.4167 1
H33 0.9229 0.8396 0.7713 1
H34 0.9229 0.0833 0.6516 1
H35 0.8484 0.2713 0.4317 1
H36 0.1604 0.0833 0.9317 1
H37 0.6516 0.5833 0.9229 1
H38 0.4167 0.0683 0.3396 1
H39 0.2713 0.4229 0.8396 1
H40 0.2287 0.5683 0.6516 1
H41 0.9167 0.0771 0.8484 1
H42 0.6604 0.2287 0.5771 1
H43 0.4317 0.7713 0.8484 1
H44 0.0683 0.4167 0.8396 1
H45 0.4229 0.2713 0.3396 1
H46 0.0683 0.6516 0.7287 1
H47 0.6604 0.4317 0.5833 1
H48 0.2713 0.8484 0.9317 1
Nd1 0.7500 0.3750 0.1250 1
Nd2 0.8750 0.7500 0.1250 1
Nd3 0.3750 0.7500 0.6250 1
Nd4 0.2500 0.1250 0.3750 1
Nd5 0.8750 0.1250 0.2500 1
Nd6 0.3750 0.6250 0.2500 1
Nd7 0.6250 0.3750 0.7500 1
Nd8 0.1250 0.8750 0.7500 1
Nd9 0.7500 0.8750 0.6250 1
Nd10 0.6250 0.2500 0.3750 1
Nd11 0.1250 0.2500 0.8750 1
Nd12 0.2500 0.6250 0.8750 1
```

## Properties
**Magnetization**: 0.450 μB/atom
**Calculated total energy**: -113.76 eV per formula unit

Computed, not measured: an optimized crystal structure of RuRh2Cl at the PBE level of DFT.

Geometry as CIF:
```
data_RuRh2Cl
_chemical_formula_sum 'Ru1 Rh2 Cl1'
_symmetry_space_group_name_H-M 'P 1'
_symmetry_Int_Tables_number 1
_symmetry_space_group_name_Hall 'P 1'
_cell_length_a 4.7091
_cell_length_b 4.7091
_cell_length_c 4.8146
_cell_angle_alpha 75.64
_cell_angle_beta 75.64
_cell_angle_gamma 34.73
loop_
_atom_site_label
_atom_site_fract_x
_atom_site_fract_y
_atom_site_fract_z
_atom_site_occupancy
Cl1 0.7500 0.7500 0.7500 1
Rh1 0.0075 0.0075 0.0052 1
Rh2 0.4925 0.4925 0.4948 1
Ru1 0.2500 0.2500 0.2500 1
```

## Properties
**E above lowest polymorph**: 0.309 eV/atom
**Magnetization**: 0.000 μB/atom
**Uncorrected formation energy**: 604 meV per atom

Computed, not measured: an optimized crystal structure of PrDy2Pd at the PBE level of DFT.

Geometry as CIF:
```
data_PrDy2Pd
_chemical_formula_sum 'Pr2 Dy4 Pd2'
_symmetry_space_group_name_H-M 'P 1'
_symmetry_Int_Tables_number 1
_symmetry_space_group_name_Hall 'P 1'
_cell_length_a 3.7989
_cell_length_b 6.6169
_cell_length_c 9.3437
_cell_angle_alpha 90.00
_cell_angle_beta 90.00
_cell_angle_gamma 106.72
loop_
_atom_site_label
_atom_site_fract_x
_atom_site_fract_y
_atom_site_fract_z
_atom_site_occupancy
Pr1 0.9395 0.8802 0.2500 1
Pr2 0.0605 0.1198 0.7500 1
Dy1 0.3617 0.7247 0.5598 1
Dy2 0.6383 0.2753 0.4402 1
Dy3 0.3617 0.7247 0.9402 1
Dy4 0.6383 0.2753 0.0598 1
Pd1 0.7634 0.5279 0.7500 1
Pd2 0.2366 0.4721 0.2500 1
```

## Properties
**E above lowest polymorph**: 0.013 eV/atom
**Magnetization**: 0.000 μB/atom
**E_form**: -0.436 eV/atom

Computed, not measured: an optimized crystal structure of LiZnRu at the PBE level of DFT.

Geometry as CIF:
```
data_LiZnRu
_chemical_formula_sum 'Li1 Zn1 Ru1'
_symmetry_space_group_name_H-M 'P 1'
_symmetry_Int_Tables_number 1
_symmetry_space_group_name_Hall 'P 1'
_cell_length_a 4.6357
_cell_length_b 4.6357
_cell_length_c 4.6357
_cell_angle_alpha 148.68
_cell_angle_beta 127.14
_cell_angle_gamma 62.74
loop_
_atom_site_label
_atom_site_fract_x
_atom_site_fract_y
_atom_site_fract_z
_atom_site_occupancy
Li1 0.0004 0.0004 0.0000 1
Ru1 0.3307 0.3307 0.0000 1
Zn1 0.6689 0.6689 0.0000 1
```

## Properties
**E above lowest polymorph**: 0.053 eV/atom
**Magnetization**: 0.000 μB/atom
**E_form**: 0.034 eV/atom